A geometry-optimized Ac6IrRh2Br2 structure, computed with PBE-GGA.

The structure in POSCAR format:
```
Ac6IrRh2Br2
1.0
3.7801 -6.5582 0.0000
3.7801 6.5582 0.0000
-2.5341 0.0000 8.0940
Ac Ir Rh Br
6 1 2 2
Direct
0.1014 0.4324 0.8029
0.2323 0.2323 0.1966
0.4324 0.1014 0.8029
0.5676 0.8986 0.1971
0.7677 0.7677 0.8034
0.8986 0.5676 0.1971
0.5000 0.5000 0.0000
0.1694 0.8306 0.0000
0.8306 0.1694 0.0000
0.3336 0.6664 0.5000
0.6664 0.3336 0.5000
```

Properties
Fermi-level density of states	0.56	states/eV/atom
SG	C2/m (12)
E_form (uncorrected)	-0.979	eV per atom
crystal system	monoclinic